[1]
Ag2SeBr after structural relaxation, computed with PBE-GGA.

- formation energy from raw total energies (kcal/mol of atoms) = -0.44
- crystal system = trigonal
- total magnetic moment (μB/f.u.) = 0.00
- SG = R3m

Cell: 7.2349 7.2349 7.2349 Å, 33.32 33.32 33.32°
With the nearest neighbours (Å) after each atom.
Fractional coordinates of all 4 atoms:
Ag (0.0043, 0.0043, 0.0043)  3 Se 2.56
Se (0.7150, 0.7150, 0.7150)  3 Ag 2.56
Ag (0.2565, 0.2565, 0.2565)  3 Br 2.75, 3 Ag 2.92
Br (0.5242, 0.5242, 0.5242)  3 Ag 2.75


[2]
AgSeBr after structural relaxation, computed with PBE-GGA.

- formation energy from raw total energies (kcal/mol of atoms) = -1.80
- crystal system = triclinic
- total magnetic moment (μB/f.u.) = 0.00
- SG = P1

Cell: 6.7514 4.3776 6.3307 Å, 98.71 106.77 92.21°
With the nearest neighbours (Å) after each atom.
Fractional coordinates of all 6 atoms:
Se (0.1342, 0.3445, 0.6654)  1 Se 2.39, 1 Br 2.46
Br (0.7205, 0.0388, 0.3577)  2 Ag 2.60-2.70
Ag (0.9416, 0.6804, 0.1700)  1 Se 2.54, 1 Br 2.60
Se (0.1148, 0.2308, 0.0167)  1 Se 2.39, 2 Ag 2.54-2.59
Ag (0.4189, 0.5861, 0.3043)  1 Se 2.59, 2 Br 2.70-2.77
Br (0.4880, 0.5952, 0.7581)  1 Se 2.46


[3]
AgSe2Br after structural relaxation, computed with PBE-GGA.

- formation energy from raw total energies (kcal/mol of atoms) = 0.32
- crystal system = tetragonal
- total magnetic moment (μB/f.u.) = 0.00
- SG = P4/mmm

Cell: 3.8117 3.8121 8.2918 Å, 90.00 90.00 90.00°
With the nearest neighbours (Å) after each atom.
Fractional coordinates of all 4 atoms:
Br (0.0000, 0.5000, 0.5000)  4 Ag 2.70
Se (0.5000, 0.5000, 0.0000)  4 Se 2.70
Se (0.0000, 0.0000, 0.0000)  4 Se 2.70
Ag (0.5000, 0.0000, 0.5000)  4 Br 2.70


[4]
Ag3SeBr6 after structural relaxation, computed with PBE-GGA.

- formation energy from raw total energies (kcal/mol of atoms) = -4.49
- crystal system = monoclinic
- total magnetic moment (μB/f.u.) = 0.26
- SG = P2_1/c

Cell: 7.1456 7.7467 12.0871 Å, 90.00 104.51 90.00°
With the nearest neighbours (Å) after each atom.
Fractional coordinates of all 20 atoms:
Ag (0.0279, 0.3697, 0.6562)  4 Br 2.69-2.78
Ag (0.5279, 0.1303, 0.1562)  4 Br 2.69-2.78
Br (0.6776, 0.2136, 0.5730)  1 Se 2.60, 1 Ag 2.73
Ag (0.0000, 0.0000, 0.5000)  2 Br 2.62
Br (0.8268, 0.6671, 0.5691)  1 Se 2.62, 1 Ag 2.78
Br (0.3260, 0.5502, 0.7843)  3 Ag 2.62-2.71
Br (0.1732, 0.3329, 0.4309)  1 Se 2.62, 1 Ag 2.78
Ag (0.5000, 0.5000, 0.0000)  2 Br 2.62
Br (0.1776, 0.2864, 0.0730)  1 Se 2.60, 1 Ag 2.73
Br (0.6732, 0.1671, 0.9309)  1 Se 2.62, 1 Ag 2.78
Ag (0.4721, 0.8697, 0.8438)  4 Br 2.69-2.78
Br (0.3224, 0.7864, 0.4270)  1 Se 2.60, 1 Ag 2.73
Br (0.8260, 0.9498, 0.2843)  3 Ag 2.62-2.71
Br (0.3268, 0.8329, 0.0691)  1 Se 2.62, 1 Ag 2.78
Ag (0.9721, 0.6303, 0.3438)  4 Br 2.69-2.78
Se (0.0000, 0.0000, 0.0000)  4 Br 2.60-2.62
Br (0.1740, 0.0502, 0.7157)  3 Ag 2.62-2.71
Br (0.6740, 0.4498, 0.2157)  3 Ag 2.62-2.71
Br (0.8224, 0.7136, 0.9270)  1 Se 2.60, 1 Ag 2.73
Se (0.5000, 0.5000, 0.5000)  4 Br 2.60-2.62


[5]
AgSe2Br after structural relaxation, computed with PBE-GGA.

- formation energy from raw total energies (kcal/mol of atoms) = 6.68
- crystal system = orthorhombic
- total magnetic moment (μB/f.u.) = 0.00
- SG = Cmmm

Cell: 8.3291 8.3291 4.0246 Å, 90.00 90.00 146.04°
With the nearest neighbours (Å) after each atom.
Fractional coordinates of all 4 atoms:
Se (0.5000, 0.5000, 0.0000)  2 Se 2.43
Ag (0.5000, 0.0000, 0.5000)  2 Br 2.43
Se (0.0000, 0.0000, 0.0000)  2 Se 2.43
Br (0.0000, 0.5000, 0.5000)  2 Ag 2.43


[6]
Ag4Se2Br5 after structural relaxation, computed with PBE-GGA.

- formation energy from raw total energies (kcal/mol of atoms) = -4.52
- crystal system = triclinic
- total magnetic moment (μB/f.u.) = 0.00
- SG = P-1

Cell: 4.1734 9.1165 8.9695 Å, 101.78 103.65 94.15°
With the nearest neighbours (Å) after each atom.
Fractional coordinates of all 11 atoms:
Se (0.4576, 0.3792, 0.9264)  1 Se 2.28
Se (0.5424, 0.6208, 0.0736)  1 Se 2.28
Ag (0.9872, 0.2090, 0.9880)  2 Se 2.64-2.80, 2 Br 2.72-2.93
Br (0.2322, 0.3787, 0.3154)  3 Ag 2.69-2.93
Ag (0.0128, 0.7910, 0.0120)  2 Se 2.64-2.80, 2 Br 2.72-2.93
Br (0.5000, 0.0000, 0.0000)  4 Ag 2.72-2.96
Br (0.7678, 0.6213, 0.6846)  3 Ag 2.69-2.93
Br (0.8701, 0.1635, 0.6314)  2 Ag 2.64-2.92
Br (0.1299, 0.8365, 0.3686)  2 Ag 2.64-2.92
Ag (0.6508, 0.6380, 0.3807)  4 Br 2.64-2.92, 1 Se 2.65
Ag (0.3492, 0.3620, 0.6193)  4 Br 2.64-2.92, 1 Se 2.65


[7]
AgSeBr after structural relaxation, computed with PBE-GGA.

- formation energy from raw total energies (kcal/mol of atoms) = 1.30
- crystal system = tetragonal
- total magnetic moment (μB/f.u.) = 0.00
- SG = I4mm

Cell: 6.3703 6.3703 6.3703 Å, 144.88 144.87 50.52°
With the nearest neighbours (Å) after each atom.
Fractional coordinates of all 3 atoms:
Se (0.5596, 0.5597, 0.9999)  1 Br 2.50, 4 Ag 2.75
Br (0.3423, 0.3423, 0.0000)  1 Se 2.50
Ag (0.0981, 0.0981, 0.0000)  4 Se 2.75, 1 Br 2.81


[8]
Ag4SeBr2 after structural relaxation, computed with PBE-GGA.

- formation energy from raw total energies (kcal/mol of atoms) = -3.76
- crystal system = monoclinic
- total magnetic moment (μB/f.u.) = 0.00
- SG = P2/m

Cell: 4.4340 7.0250 7.1688 Å, 121.70 90.00 90.00°
With the nearest neighbours (Å) after each atom.
Fractional coordinates of all 7 atoms:
Ag (0.5000, 0.1815, 0.8741)  2 Se 2.69, 2 Br 2.75-2.95
Br (0.5000, 0.6473, 0.2505)  4 Ag 2.71-2.95
Br (0.5000, 0.3527, 0.6067)  4 Ag 2.71-2.95
Ag (0.0000, 0.2455, 0.3544)  1 Se 2.60, 2 Br 2.71
Se (0.0000, 0.0000, 0.9286)  6 Ag 2.60-2.69
Ag (0.0000, 0.7549, 0.5028)  1 Se 2.60, 2 Br 2.71
Ag (0.5000, 0.8184, 0.9830)  2 Se 2.69, 2 Br 2.75-2.95


[9]
AgSeBr3 after structural relaxation, computed with PBE-GGA.

- formation energy from raw total energies (kcal/mol of atoms) = 7.85
- crystal system = cubic
- total magnetic moment (μB/f.u.) = 2.94
- SG = Pm-3m

Cell: 5.3506 5.3506 5.3506 Å, 90.00 90.00 90.00°
With the nearest neighbours (Å) after each atom.
Fractional coordinates of all 5 atoms:
Br (0.0000, 0.0000, 0.5000)  2 Ag 2.68
Se (0.5000, 0.5000, 0.5000)  12 Br 3.78
Br (0.5000, 0.0000, 0.0000)  2 Ag 2.68
Br (0.0000, 0.5000, 0.0000)  2 Ag 2.68
Ag (0.0000, 0.0000, 0.0000)  6 Br 2.68


[10]
Ag2SeBr after structural relaxation, computed with PBE-GGA.

- formation energy from raw total energies (kcal/mol of atoms) = -2.16
- crystal system = monoclinic
- total magnetic moment (μB/f.u.) = 0.00
- SG = Pc

Cell: 7.2906 7.3097 8.7188 Å, 90.00 90.00 90.02°
With the nearest neighbours (Å) after each atom.
Fractional coordinates of all 16 atoms:
Ag (0.6455, 0.0693, 0.8954)  2 Se 2.55-2.56, 2 Br 2.76-2.81
Ag (0.1148, 0.9085, 0.6352)  2 Se 2.55-2.57, 2 Br 2.77-2.78
Br (0.9949, 0.0855, 0.3710)  4 Ag 2.76-2.81
Ag (0.1462, 0.4308, 0.3960)  2 Se 2.55-2.56, 2 Br 2.76-2.81
Br (0.4944, 0.9146, 0.6287)  4 Ag 2.76-2.81
Se (0.9938, 0.0787, 0.8699)  4 Ag 2.55-2.57
Br (0.4944, 0.4146, 0.8713)  4 Ag 2.76-2.81
Se (0.9938, 0.5787, 0.6301)  4 Ag 2.55-2.57
Ag (0.1148, 0.4085, 0.8648)  2 Se 2.55-2.57, 2 Br 2.77-2.78
Ag (0.6156, 0.5915, 0.1353)  2 Se 2.55-2.57, 2 Br 2.77-2.78
Se (0.4943, 0.9210, 0.1300)  4 Ag 2.55-2.57
Ag (0.1462, 0.9308, 0.1040)  2 Se 2.55-2.56, 2 Br 2.76-2.81
Br (0.9949, 0.5855, 0.1290)  4 Ag 2.76-2.81
Se (0.4943, 0.4210, 0.3700)  4 Ag 2.55-2.57
Ag (0.6156, 0.0915, 0.3647)  2 Se 2.55-2.57, 2 Br 2.77-2.78
Ag (0.6455, 0.5693, 0.6046)  2 Se 2.55-2.56, 2 Br 2.76-2.81


[11]
AgSeBr4 after structural relaxation, computed with PBE-GGA.

- formation energy from raw total energies (kcal/mol of atoms) = 18.11
- crystal system = cubic
- total magnetic moment (μB/f.u.) = 1.47
- SG = F-43m

Cell: 6.2528 6.2528 6.2528 Å, 60.00 60.00 60.00°
With the nearest neighbours (Å) after each atom.
Fractional coordinates of all 6 atoms:
Br (0.3747, 0.8760, 0.3747)  6 Br 3.12-3.13
Br (0.3747, 0.3747, 0.3747)  6 Br 3.12-3.13
Ag (0.0000, 0.0000, 0.0000)  12 Br 3.67, 4 Se 3.83
Br (0.8760, 0.3747, 0.3747)  6 Br 3.12-3.13
Br (0.3747, 0.3747, 0.8760)  6 Br 3.12-3.13
Se (0.7500, 0.7500, 0.7500)  12 Br 3.67, 4 Ag 3.83


[12]
AgSe2Br8 after structural relaxation, computed with PBE-GGA.

- formation energy from raw total energies (kcal/mol of atoms) = -0.99
- crystal system = monoclinic
- total magnetic moment (μB/f.u.) = 0.00
- SG = C2/m

Cell: 7.4385 8.1180 8.1180 Å, 70.35 82.98 82.98°
With the nearest neighbours (Å) after each atom.
Fractional coordinates of all 11 atoms:
Br (0.8371, 0.0857, 0.6998)  1 Ag 2.70, 1 Se 2.73
Br (0.8371, 0.6998, 0.0857)  1 Ag 2.70, 1 Se 2.73
Br (0.3454, 0.8049, 0.8049)  1 Se 2.42
Se (0.6742, 0.7808, 0.7808)  2 Br 2.39-2.42
Br (0.6546, 0.1951, 0.1951)  1 Se 2.42
Br (0.1629, 0.9143, 0.3002)  1 Ag 2.70, 1 Se 2.73
Ag (0.0000, 0.0000, 0.0000)  4 Br 2.70
Br (0.2254, 0.3988, 0.3988)  1 Se 2.39
Br (0.7746, 0.6012, 0.6012)  1 Se 2.39
Se (0.3258, 0.2192, 0.2192)  2 Br 2.39-2.42
Br (0.1629, 0.3002, 0.9143)  1 Ag 2.70, 1 Se 2.73


[13]
AgSe2Br after structural relaxation, computed with PBE-GGA.

- formation energy from raw total energies (kcal/mol of atoms) = 11.64
- crystal system = tetragonal
- total magnetic moment (μB/f.u.) = 0.00
- SG = P4/mmm

Cell: 5.3099 5.3099 3.0786 Å, 90.00 90.00 90.00°
With the nearest neighbours (Å) after each atom.
Fractional coordinates of all 4 atoms:
Se (0.0000, 0.0000, 0.0000)  4 Br 3.07, 4 Ag 3.07, 2 Se 3.08
Ag (0.5000, 0.0000, 0.5000)  8 Se 3.07, 2 Ag 3.08
Se (0.5000, 0.5000, 0.0000)  4 Ag 3.07, 4 Br 3.07, 2 Se 3.08
Br (0.0000, 0.5000, 0.5000)  8 Se 3.07, 2 Br 3.08


[14]
AgSe2Br after structural relaxation, computed with PBE-GGA.

- formation energy from raw total energies (kcal/mol of atoms) = 7.91
- crystal system = trigonal
- total magnetic moment (μB/f.u.) = 0.00
- SG = R-3m

Cell: 12.6406 12.6406 12.6406 Å, 13.66 13.66 13.66°
With the nearest neighbours (Å) after each atom.
Fractional coordinates of all 4 atoms:
Br (0.7500, 0.7500, 0.7500)  6 Br 3.01
Se (0.9797, 0.9797, 0.9797)  3 Ag 2.94, 6 Se 3.01
Se (0.5203, 0.5203, 0.5203)  3 Ag 2.94, 6 Se 3.01
Ag (0.2500, 0.2500, 0.2500)  6 Se 2.94, 6 Ag 3.01


[15]
Ag2SeBr after structural relaxation, computed with PBE-GGA.

- formation energy from raw total energies (kcal/mol of atoms) = -0.91
- crystal system = monoclinic
- total magnetic moment (μB/f.u.) = 0.00
- SG = P2/m

Cell: 3.5411 3.7726 7.1109 Å, 89.70 90.00 90.00°
With the nearest neighbours (Å) after each atom.
Fractional coordinates of all 4 atoms:
Se (0.5000, 0.7500, 0.7500)  4 Ag 2.74
Ag (0.0000, 0.1524, 0.9513)  2 Se 2.74, 2 Br 2.79, 1 Ag 2.95
Br (0.5000, 0.2500, 0.2500)  4 Ag 2.79
Ag (0.0000, 0.3476, 0.5487)  2 Se 2.74, 2 Br 2.79, 1 Ag 2.95


[16]
Ag2SeBr after structural relaxation, computed with PBE-GGA.

- formation energy from raw total energies (kcal/mol of atoms) = -0.03
- crystal system = orthorhombic
- total magnetic moment (μB/f.u.) = 0.00
- SG = Cmmm

Cell: 3.9767 3.9767 7.7078 Å, 90.00 90.00 122.74°
With the nearest neighbours (Å) after each atom.
Fractional coordinates of all 4 atoms:
Se (0.5000, 0.5000, 0.7500)  4 Ag 2.64
Ag (0.0000, 0.0000, 0.5131)  2 Se 2.64, 2 Br 2.78
Br (0.5000, 0.5000, 0.2500)  4 Ag 2.78
Ag (0.0000, 0.0000, 0.9869)  2 Se 2.64, 2 Br 2.78


[17]
AgSe2Br2 after structural relaxation, computed with PBE-GGA.

- formation energy from raw total energies (kcal/mol of atoms) = 7.19
- crystal system = tetragonal
- total magnetic moment (μB/f.u.) = 0.00
- SG = I4/mmm

Cell: 6.0429 6.0429 5.8657 Å, 59.00 59.00 90.00°
With the nearest neighbours (Å) after each atom.
Fractional coordinates of all 5 atoms:
Br (0.7500, 0.2500, 0.5000)  4 Se 3.16
Se (0.3653, 0.3653, 0.2694)  1 Se 2.17
Se (0.6347, 0.6347, 0.7306)  1 Se 2.17
Ag (0.0000, 0.0000, 0.0000)  2 Se 2.94
Br (0.2500, 0.7500, 0.5000)  4 Se 3.16


[18]
Ag2SeBr after structural relaxation, computed with PBE-GGA.

- formation energy from raw total energies (kcal/mol of atoms) = -2.73
- crystal system = tetragonal
- total magnetic moment (μB/f.u.) = 0.00
- SG = P4mm

Cell: 3.7352 3.7257 7.1833 Å, 90.00 90.00 90.00°
With the nearest neighbours (Å) after each atom.
Fractional coordinates of all 4 atoms:
Se (0.5000, 0.5000, 0.9243)  5 Ag 2.60-2.70
Br (0.0000, 0.0000, 0.4434)  5 Ag 2.87-2.89
Ag (0.0000, 0.0000, 0.8457)  4 Se 2.70, 1 Br 2.89
Ag (0.5000, 0.5000, 0.2867)  1 Se 2.60, 4 Br 2.87


[19]
AgSe4Br after structural relaxation, computed with PBE-GGA.

- formation energy from raw total energies (kcal/mol of atoms) = 11.65
- crystal system = cubic
- total magnetic moment (μB/f.u.) = 0.00
- SG = F-43m

Cell: 5.7847 5.7847 5.7847 Å, 60.00 60.00 60.00°
With the nearest neighbours (Å) after each atom.
Fractional coordinates of all 6 atoms:
Br (0.0000, 0.0000, 0.0000)  12 Se 3.39, 4 Ag 3.54
Se (0.3726, 0.3726, 0.8822)  6 Se 2.84-2.95
Se (0.3726, 0.3726, 0.3726)  6 Se 2.84-2.95
Ag (0.7500, 0.7500, 0.7500)  12 Se 3.40, 4 Br 3.54
Se (0.8822, 0.3726, 0.3726)  6 Se 2.84-2.95
Se (0.3726, 0.8822, 0.3726)  6 Se 2.84-2.95


[20]
AgSeBr after structural relaxation, computed with PBE-GGA.

- formation energy from raw total energies (kcal/mol of atoms) = 2.31
- crystal system = orthorhombic
- total magnetic moment (μB/f.u.) = 0.30
- SG = Fmm2

Cell: 7.2559 6.5073 4.1557 Å, 82.60 62.79 34.61°
With the nearest neighbours (Å) after each atom.
Fractional coordinates of all 3 atoms:
Se (0.6391, 0.6391, 0.3609)  2 Ag 2.53
Br (0.3581, 0.3581, 0.6419)  2 Ag 2.59
Ag (0.0027, 0.0027, 0.9973)  2 Se 2.53, 2 Br 2.59